CaMg2Co: relaxed, PBE.

Cell lengths 3.2726, 3.2726, 28.7488 Å; angles 90.00, 90.00, 120.00 degrees
Last column: nearest neighbours and their distance in Å.
Positions (direct):
Ca 0.0000 0.0000 0.0000  3 Co 2.78
Ca 0.3333 0.6667 0.6667  3 Co 2.78
Ca 0.6667 0.3333 0.3333  3 Co 2.78
Mg 0.0000 0.0000 0.5321  3 Co 2.63
Mg 0.0000 0.0000 0.7714  9 Mg 3.27-3.30, 3 Ca 3.55
Mg 0.3333 0.6667 0.1988  3 Co 2.63
Mg 0.3333 0.6667 0.4381  9 Mg 3.27-3.30, 3 Ca 3.55
Mg 0.6667 0.3333 0.1047  9 Mg 3.27-3.30, 3 Ca 3.55
Mg 0.6667 0.3333 0.8655  3 Co 2.63
Co 0.0000 0.0000 0.2622  3 Mg 2.63, 3 Ca 2.78
Co 0.3333 0.6667 0.9289  3 Mg 2.63, 3 Ca 2.78
Co 0.6667 0.3333 0.5955  3 Mg 2.63, 3 Ca 2.78


Ca2MgCo2: relaxed, PBE.

Cell lengths 7.1231, 7.1231, 4.3399 Å; angles 90.00, 90.00, 90.00 degrees
Last column: nearest neighbours and their distance in Å.
Positions (direct):
Ca 0.1750 0.3250 0.0000  6 Co 3.01-3.07
Ca 0.3250 0.8250 0.0000  6 Co 3.01-3.07
Ca 0.6750 0.1750 0.0000  6 Co 3.01-3.07
Ca 0.8250 0.6750 0.0000  6 Co 3.01-3.07
Mg 0.0000 0.0000 0.5000  4 Co 2.89
Mg 0.5000 0.5000 0.5000  4 Co 2.89
Co 0.1094 0.6094 0.5000  1 Co 2.20
Co 0.3906 0.1094 0.5000  1 Co 2.20
Co 0.6094 0.8906 0.5000  1 Co 2.20
Co 0.8906 0.3906 0.5000  1 Co 2.20


CaMg2Co: relaxed, PBE.

Cell lengths 4.3342, 4.3342, 8.8412 Å; angles 90.00, 90.00, 90.00 degrees
Last column: nearest neighbours and their distance in Å.
Positions (direct):
Ca 0.0000 0.0000 0.0000  4 Co 3.06, 8 Mg 3.10
Ca 0.5000 0.5000 0.5000  4 Co 3.06, 8 Mg 3.10
Mg 0.0000 0.5000 0.2500  4 Mg 3.06, 4 Ca 3.10, 4 Co 3.10
Mg 0.0000 0.5000 0.7500  4 Mg 3.06, 4 Co 3.10, 4 Ca 3.10
Mg 0.5000 0.0000 0.2500  4 Mg 3.06, 4 Ca 3.10, 4 Co 3.10
Mg 0.5000 0.0000 0.7500  4 Mg 3.06, 4 Co 3.10, 4 Ca 3.10
Co 0.0000 0.0000 0.5000  4 Ca 3.06, 8 Mg 3.10
Co 0.5000 0.5000 0.0000  4 Ca 3.06, 8 Mg 3.10


Ca2MgCo: relaxed, PBE.

Cell lengths 7.0993, 7.1132, 4.0026 Å; angles 90.00, 90.00, 90.00 degrees
Last column: nearest neighbours and their distance in Å.
Positions (direct):
Ca 0.2500 0.2500 0.0000  4 Co 3.21, 4 Mg 3.21, 4 Ca 3.55-3.56
Ca 0.2500 0.7500 0.0000  4 Co 3.21, 4 Mg 3.21, 4 Ca 3.55-3.56
Ca 0.7500 0.2500 0.0000  4 Co 3.21, 4 Mg 3.21, 4 Ca 3.55-3.56
Ca 0.7500 0.7500 0.0000  4 Co 3.21, 4 Mg 3.21, 4 Ca 3.55-3.56
Mg 0.0000 0.0000 0.5000  8 Ca 3.21, 4 Co 3.55-3.56
Mg 0.5000 0.5000 0.5000  8 Ca 3.21, 4 Co 3.55-3.56
Co 0.0000 0.5000 0.5000  8 Ca 3.21, 4 Mg 3.55-3.56
Co 0.5000 0.0000 0.5000  8 Ca 3.21, 4 Mg 3.55-3.56


CaMgCo: relaxed, PBE.

Cell lengths 3.3148, 3.3148, 11.3052 Å; angles 90.00, 90.00, 90.00 degrees
Last column: nearest neighbours and their distance in Å.
Positions (direct):
Ca 0.0000 0.0000 0.0000  4 Co 2.96, 1 Mg 3.01
Ca 0.5000 0.5000 0.5000  4 Co 2.96, 1 Mg 3.01
Mg 0.0000 0.0000 0.7334  4 Co 2.64
Mg 0.5000 0.5000 0.2334  4 Co 2.64
Co 0.0000 0.0000 0.3405  4 Mg 2.64
Co 0.5000 0.5000 0.8405  4 Mg 2.64


CaMgCo: relaxed, PBE.

Cell lengths 6.8015, 6.8015, 7.4324 Å; angles 90.00, 90.00, 127.22 degrees
Last column: nearest neighbours and their distance in Å.
Positions (direct):
Ca 0.1898 0.8102 0.8970  2 Co 2.92-2.94
Ca 0.3102 0.6898 0.3970  2 Co 2.92-2.94
Ca 0.6898 0.3102 0.6030  2 Co 2.92-2.94
Ca 0.8102 0.1898 0.1030  2 Co 2.92-2.94
Mg 0.2030 0.2970 0.7500  4 Co 2.69-2.70
Mg 0.2970 0.2030 0.2500  4 Co 2.69-2.70
Mg 0.7030 0.7970 0.7500  4 Co 2.69-2.70
Mg 0.7970 0.7030 0.2500  4 Co 2.69-2.70
Co 0.0860 0.9140 0.5426  1 Co 2.19
Co 0.4140 0.5860 0.0426  1 Co 2.19
Co 0.5860 0.4140 0.9574  1 Co 2.19
Co 0.9140 0.0860 0.4574  1 Co 2.19


Ca4MgCo: relaxed, PBE.

Cell lengths 6.6109, 6.6109, 6.6109 Å; angles 60.00, 60.00, 60.00 degrees
Last column: nearest neighbours and their distance in Å.
Positions (direct):
Ca 0.1248 0.1248 0.1248  6 Ca 3.30-3.31
Ca 0.1248 0.1248 0.6257  6 Ca 3.30-3.31
Ca 0.1248 0.6257 0.1248  6 Ca 3.30-3.31
Ca 0.6257 0.1248 0.1248  6 Ca 3.30-3.31
Mg 0.5000 0.5000 0.5000  12 Ca 3.88, 4 Co 4.05
Co 0.7500 0.7500 0.7500  12 Ca 3.88, 4 Mg 4.05


Ca2MgCo: relaxed, PBE.

Cell lengths 12.2233, 3.5087, 5.2824 Å; angles 90.00, 115.54, 90.00 degrees
Last column: nearest neighbours and their distance in Å.
Positions (direct):
Ca 0.0000 0.0000 0.0000  4 Co 3.17-3.18, 2 Mg 3.39, 4 Ca 3.39-3.51
Ca 0.1931 0.0000 0.6928  2 Co 2.92
Ca 0.5000 0.5000 0.0000  4 Co 3.17-3.18, 2 Mg 3.39, 4 Ca 3.39-3.51
Ca 0.6931 0.5000 0.6928  2 Co 2.92
Mg 0.3074 0.5000 0.3069  2 Co 2.60
Mg 0.8074 0.0000 0.3069  2 Co 2.60
Co 0.4813 0.0000 0.4819  2 Mg 2.60
Co 0.9813 0.5000 0.4819  2 Mg 2.60


For each record above, in turn, the calculated E_form values are 0.348, 0.177, 0.231, 0.298, 0.213, 0.119, 0.765, 0.199 eV/atom.
For each record above, in turn, the calculated E_tot values are -2.726, -3.785, -2.843, -2.878, -3.354, -3.449, -2.020, -2.977 eV per atom.